(1)
Here is a geometry-optimized KNbN3 structure from Alexandria. Energies are from PBE.

Cell and atoms, written as CIF:
```
data_KNbN3
_chemical_formula_sum 'K1 Nb1 N3'
_space_group_name_H-M_alt 'P m -3 m'
_space_group_IT_number 221
_space_group_name_Hall '-P 4 2 3'
_cell_length_a 4.182
_cell_length_b 4.182
_cell_length_c 4.182
_cell_angle_alpha 90.00
_cell_angle_beta 90.00
_cell_angle_gamma 90.00
loop_
_atom_site_label
_atom_site_type_symbol
_atom_site_fract_x
_atom_site_fract_y
_atom_site_fract_z
K1 K 0.000 0.000 0.000
Nb1 Nb 0.500 0.500 0.500
N1 N 0.000 0.500 0.500
```

- calculated density (g/cm3) = 3.95
- formation energy (no corrections) (eV per atom) = 0.25

---

(2)
Here is a geometry-optimized CaOsBr2 structure from Alexandria. Energies are from PBE.

Cell and atoms, written as CIF:
```
data_CaOsBr2
_chemical_formula_sum 'Ca2 Os2 Br4'
_space_group_name_H-M_alt 'I -4 m 2'
_space_group_IT_number 119
_space_group_name_Hall 'I -4 -2'
_cell_length_a 3.960
_cell_length_b 3.960
_cell_length_c 11.873
_cell_angle_alpha 90.00
_cell_angle_beta 90.00
_cell_angle_gamma 90.00
loop_
_atom_site_label
_atom_site_type_symbol
_atom_site_fract_x
_atom_site_fract_y
_atom_site_fract_z
Ca1 Ca 0.000 0.000 0.000
Os1 Os 0.000 0.500 0.750
Br1 Br 0.000 0.000 0.500
Br2 Br 0.000 0.500 0.250
```

- calculated density (g/cm3) = 6.96
- relative energy among the computed polymorphs (meV per atom) = 521
- formation energy (no corrections) (eV per atom) = 0.29

---

(3)
Here is a geometry-optimized Ca6Mg2Cd structure from Alexandria. Energies are from PBE.

Cell and atoms, written as CIF:
```
data_Ca6Mg2Cd
_chemical_formula_sum 'Ca12 Mg4 Cd2'
_space_group_name_H-M_alt 'P n n m'
_space_group_IT_number 58
_cell_length_a 10.547
_cell_length_b 10.554
_cell_length_c 5.521
_cell_angle_alpha 90.00
_cell_angle_beta 90.00
_cell_angle_gamma 90.00
loop_
_space_group_symop_operation_xyz
'x,y,z'
'-x,-y,-z'
'-x,-y,z'
'x,y,-z'
'x+1/2,-y+1/2,-z+1/2'
'-x+1/2,y+1/2,z+1/2'
'-x+1/2,y+1/2,-z+1/2'
'x+1/2,-y+1/2,z+1/2'
loop_
_atom_site_label
_atom_site_type_symbol
_atom_site_fract_x
_atom_site_fract_y
_atom_site_fract_z
Ca1 Ca 0.029 0.188 0.000
Ca2 Ca 0.123 0.622 0.500
Ca3 Ca 0.188 0.970 0.500
Mg1 Mg 0.201 0.297 0.500
Cd1 Cd 0.000 0.500 0.000
```

- calculated density (g/cm3) = 2.17
- relative energy among the computed polymorphs (meV per atom) = 0
- energy of formation (eV/atom) = -0.1168

---

(4)
Here is a geometry-optimized ZrTlPt2 structure from Alexandria. Energies are from PBE.

Cell and atoms, written as CIF:
```
data_ZrTlPt2
_chemical_formula_sum 'Zr4 Tl4 Pt8'
_space_group_name_H-M_alt 'I -4 2 d'
_space_group_IT_number 122
_space_group_name_Hall 'I -4 2bw'
_cell_length_a 7.582
_cell_length_b 7.582
_cell_length_c 5.852
_cell_angle_alpha 90.00
_cell_angle_beta 90.00
_cell_angle_gamma 90.00
loop_
_atom_site_label
_atom_site_type_symbol
_atom_site_fract_x
_atom_site_fract_y
_atom_site_fract_z
Zr1 Zr 0.000 0.000 0.000
Tl1 Tl 0.000 0.000 0.500
Pt1 Pt 0.232 0.250 0.125
```

- calculated density (g/cm3) = 13.54
- energy of formation (eV/atom) = -0.2577

---

| no. | M_tot (Bohr magnetons per cell) |
| --- | --- |
| 1 | 3.00 |
| 2 | 3.75 |
| 3 | 0.00 |
| 4 | 0.00 |